Compound: LiTbCd3
Source: Alexandria via LeMat-Bulk
Functional: GGA-PBE
Structure: relaxed

a b c (Å): 5.5226 6.8181 6.8181
angles (deg): 119.99 90.00 90.00
Fractional coordinates of all 10 atoms:
Cd: 0.7500 0.1881 0.3761
Cd: 0.2500 0.8119 0.6239
Cd: 0.2500 0.8119 0.1881
Cd: 0.2500 0.3761 0.1881
Cd: 0.7500 0.1881 0.8119
Cd: 0.7500 0.6239 0.8119
Tb: 0.7500 0.6666 0.3334
Tb: 0.2500 0.3334 0.6666
Li: 0.5000 0.0000 0.0000
Li: 0.0000 0.0000 0.0000

Computed properties:
As for the energy above the most stable polymorph in this dataset: 0.0 meV per atom. The total energy is -2.051 eV per atom. Its space-group type is P6_3/mmc.